1.
Computed, not measured: crystalline DyInCo2 at its relaxed geometry at the PBEsol level of DFT.

a = 4.9387 Å, b = 3.9318 Å, c = 7.0006 Å
α = 90.00°, β = 90.00°, γ = 90.00°
Last column: nearest neighbours and their distance in Å.
Space group Pmma (No. 51)
Inequivalent atoms, fractional coordinates:
Dy1 0.2500 0.0000 0.2227  3 Co 2.59-2.79
In1 0.2500 0.5000 0.8504  4 Co 2.67-2.75
Co1 0.0000 0.5000 0.5000  6 Co 2.41-2.47
Co2 0.2500 0.0000 0.5921  4 Co 2.41, 1 Dy 2.59, 2 In 2.67

Calculated values
D(E_F) in states/eV/f.u.: 5.33
Mass density in g cm⁻³: 9.65
ΔH_f (0 K) in eV per atom: -0.281

---

2.
Computed, not measured: crystalline Dy4Mg3Co2 at its relaxed geometry at the PBEsol level of DFT.

a = 7.3961 Å, b = 3.6426 Å, c = 8.0501 Å
α = 90.00°, β = 109.94°, γ = 90.00°
Last column: nearest neighbours and their distance in Å.
Space group P2/m (No. 10)
Inequivalent atoms, fractional coordinates:
Dy1 0.0983 0.0000 0.2264  2 Co 2.62
Dy2 0.3990 0.0000 0.6753  4 Co 2.78-2.85
Mg1 0.0000 0.5000 0.5000  2 Co 3.00, 8 Dy 3.13-3.34
Mg2 0.2924 0.5000 0.0005  1 Co 3.02, 1 Mg 3.07, 6 Dy 3.24-3.38
Co1 0.3501 0.5000 0.3909  1 Co 2.31

Calculated values
D(E_F) in states/eV/f.u.: 7.78
Mass density in g cm⁻³: 6.85
ΔH_f (0 K) in eV per atom: -0.158

---

3.
Computed, not measured: crystalline Dy13Mg7Co4 at its relaxed geometry at the PBEsol level of DFT.

a = 9.3584 Å, b = 9.3584 Å, c = 22.7845 Å
α = 90.00°, β = 90.00°, γ = 120.00°
Last column: nearest neighbours and their distance in Å.
Space group R3m (No. 160, hexagonal axes)
Inequivalent atoms, fractional coordinates:
Dy1 0.0000 0.0000 0.0000  3 Co 2.70
Dy2 0.0819 0.5410 0.3857  2 Co 2.64-2.68
Dy3 0.0865 0.5432 0.5393  3 Co 2.67-2.76
Dy4 0.2057 0.4113 0.0101  4 Mg 3.15-3.48, 2 Co 3.33, 6 Dy 3.34-3.52
Dy5 0.2074 0.4148 0.2581  2 Co 2.70
Mg1 0.0000 0.0000 0.2356  3 Mg 2.99, 3 Dy 3.21
Mg2 0.0817 0.5409 0.1331  2 Mg 3.15, 2 Co 3.37-3.44, 8 Dy 3.37-3.50
Mg3 0.1094 0.2188 0.1299  5 Mg 2.99-3.15, 2 Dy 3.15-3.32
Co1 0.0000 0.0000 0.7952  6 Dy 2.67-2.68
Co2 0.1859 0.3719 0.6115  6 Dy 2.64-2.76

Calculated values
D(E_F) in states/eV/f.u.: 23.10
Mass density in g cm⁻³: 7.26
ΔH_f (0 K) in eV per atom: -0.129

---

4.
Computed, not measured: crystalline Dy4MgCo at its relaxed geometry at the PBEsol level of DFT.

a = 13.2929 Å, b = 13.2929 Å, c = 13.2929 Å
α = 90.00°, β = 90.00°, γ = 90.00°
Last column: nearest neighbours and their distance in Å.
Space group F-43m (No. 216)
Inequivalent atoms, fractional coordinates:
Dy1 0.0000 0.0000 0.1861  2 Co 2.72
Dy2 0.0623 0.2500 0.2500  2 Mg 3.21, 2 Co 3.39, 10 Dy 3.40-3.53
Dy3 0.1560 0.1560 0.6560  3 Co 2.72
Mg1 0.0795 0.0795 0.4205  3 Mg 2.99, 3 Dy 3.21
Co1 0.1408 0.1408 0.8592  6 Dy 2.72

Calculated values
D(E_F) in states/eV/f.u.: 5.75
Mass density in g cm⁻³: 8.29
ΔH_f (0 K) in eV per atom: -0.146

---

5.
Computed, not measured: crystalline DyCoNi at its relaxed geometry at the PBEsol level of DFT.

a = 4.8614 Å, b = 4.9837 Å, c = 7.1434 Å
α = 90.00°, β = 90.00°, γ = 90.00°
Last column: nearest neighbours and their distance in Å.
Space group Imma (No. 74)
Inequivalent atoms, fractional coordinates:
Dy1 0.0000 0.2500 0.1226  6 Ni 2.87-2.97, 6 Co 2.92-2.93, 4 Dy 3.04-3.05
Co1 0.2500 0.2500 0.7500  2 Co 2.43, 4 Ni 2.49
Ni1 0.0000 0.0000 0.5000  2 Ni 2.49, 4 Co 2.49

Calculated values
D(E_F) in states/eV/f.u.: 2.75
Mass density in g cm⁻³: 10.75
ΔH_f (0 K) in eV per atom: -0.331

---

6.
Computed, not measured: crystalline DyCoO3 at its relaxed geometry at the PBEsol level of DFT.

a = 5.4359 Å, b = 7.2940 Å, c = 5.0595 Å
α = 90.00°, β = 90.00°, γ = 90.00°
Last column: nearest neighbours and their distance in Å.
Space group Pnma (No. 62)
Inequivalent atoms, fractional coordinates:
Dy1 0.0762 0.2500 0.0225  6 O 2.21-2.40
Co1 0.0000 0.0000 0.5000  6 O 1.90-1.94
O1 0.0258 0.7500 0.4005  2 Co 1.90
O2 0.1983 0.5491 0.8097  2 Co 1.94

Calculated values
D(E_F) in states/eV/f.u.: 0.44
Mass density in g cm⁻³: 8.92
Formation energy (no corrections) in eV/atom: -2.37

---

7.
Computed, not measured: crystalline DyCoSi2Rh at its relaxed geometry at the PBEsol level of DFT.

a = 3.9149 Å, b = 3.9149 Å, c = 9.8180 Å
α = 90.00°, β = 90.00°, γ = 90.00°
Last column: nearest neighbours and their distance in Å.
Space group I-4m2 (No. 119)
Inequivalent atoms, fractional coordinates:
Dy1 0.0000 0.0000 0.0000  8 Si 3.02, 4 Co 3.14, 4 Rh 3.14
Co1 0.0000 0.5000 0.2500  4 Si 2.32
Si1 0.0000 0.0000 0.3763  2 Co 2.32, 2 Rh 2.32, 1 Si 2.43
Rh1 0.0000 0.5000 0.7500  4 Si 2.32

Calculated values
D(E_F) in states/eV/f.u.: 2.43
Mass density in g cm⁻³: 8.40
Formation energy (no corrections) in eV/atom: -1.02

---

8.
Computed, not measured: crystalline Dy5CoSb2 at its relaxed geometry at the PBEsol level of DFT.

a = 11.9870 Å, b = 8.6433 Å, c = 7.7329 Å
α = 90.00°, β = 90.00°, γ = 90.00°
Last column: nearest neighbours and their distance in Å.
Space group Pnma (No. 62)
Inequivalent atoms, fractional coordinates:
Dy1 0.0023 0.2500 0.0455  1 Co 2.98, 4 Sb 3.07
Dy2 0.0643 0.5360 0.3206  2 Co 2.69-2.82
Dy3 0.1940 0.2500 0.6215  1 Co 2.65
Dy4 0.2027 0.7500 0.6528  1 Co 2.64
Co1 0.0107 0.2500 0.4308  6 Dy 2.64-2.82
Sb1 0.1733 0.0079 0.9270  8 Dy 3.07-3.33

Calculated values
D(E_F) in states/eV/f.u.: 4.71
Mass density in g cm⁻³: 9.24
Formation energy (no corrections) in eV/atom: -0.74

---

9.
Computed, not measured: crystalline Dy3Co2Si3 at its relaxed geometry at the PBEsol level of DFT.

a = 4.0433 Å, b = 10.3050 Å, c = 13.3929 Å
α = 90.00°, β = 90.00°, γ = 90.00°
Last column: nearest neighbours and their distance in Å.
Space group Cmcm (No. 63)
Inequivalent atoms, fractional coordinates:
Dy1 0.0000 0.0812 0.1124  7 Si 2.89-3.23, 4 Co 2.91-3.09
Dy2 0.0000 0.3633 0.2500  4 Si 2.82-2.83
Co1 0.0000 0.2155 0.5786  4 Si 2.31-2.58
Si1 0.0000 0.3292 0.7500  2 Co 2.58, 2 Dy 2.83
Si2 0.0000 0.3804 0.0402  3 Co 2.31-2.33

Calculated values
D(E_F) in states/eV/f.u.: 5.75
Mass density in g cm⁻³: 8.21
Formation energy (no corrections) in eV/atom: -0.80

---

10.
Computed, not measured: crystalline Dy2CoSi2 at its relaxed geometry at the PBEsol level of DFT.

a = 10.3152 Å, b = 4.0856 Å, c = 9.8728 Å
α = 90.00°, β = 119.56°, γ = 90.00°
Last column: nearest neighbours and their distance in Å.
Space group C2/m (No. 12)
Inequivalent atoms, fractional coordinates:
Dy1 0.0022 0.0000 0.1722  6 Si 2.84-3.04, 4 Co 2.88-3.08
Dy2 0.1864 0.0000 0.6050  6 Si 2.82-3.09
Co1 0.2270 0.5000 0.8803  4 Si 2.31-2.45
Si1 0.0037 0.5000 0.3721  1 Co 2.45, 1 Si 2.56
Si2 0.1525 0.5000 0.0667  3 Co 2.31-2.32

Calculated values
D(E_F) in states/eV/f.u.: 3.93
Mass density in g cm⁻³: 8.08
Formation energy (no corrections) in eV/atom: -0.82

---

11.
Computed, not measured: crystalline DyCo2Si2 at its relaxed geometry at the PBEsol level of DFT.

a = 3.8290 Å, b = 3.8290 Å, c = 9.6519 Å
α = 90.00°, β = 90.00°, γ = 90.00°
Last column: nearest neighbours and their distance in Å.
Space group I4/mmm (No. 139)
Inequivalent atoms, fractional coordinates:
Dy1 0.0000 0.0000 0.0000  8 Si 2.98, 8 Co 3.08
Co1 0.0000 0.5000 0.2500  4 Si 2.25
Si1 0.0000 0.0000 0.3717  4 Co 2.25, 1 Si 2.48

Calculated values
D(E_F) in states/eV/f.u.: 2.50
Mass density in g cm⁻³: 7.90
Formation energy (no corrections) in eV/atom: -0.90

---

12.
Computed, not measured: crystalline DyCoSi2 at its relaxed geometry at the PBEsol level of DFT.

a = 3.9674 Å, b = 16.0790 Å, c = 3.9436 Å
α = 90.00°, β = 90.00°, γ = 90.00°
Last column: nearest neighbours and their distance in Å.
Space group Cmcm (No. 63)
Inequivalent atoms, fractional coordinates:
Dy1 0.0000 0.1076 0.2500  10 Si 2.99-3.13, 4 Co 3.02
Co1 0.0000 0.3209 0.2500  5 Si 2.19-2.29
Si1 0.0000 0.2500 0.7500  4 Co 2.28-2.29
Si2 0.0000 0.4573 0.2500  1 Co 2.19, 2 Si 2.40

Calculated values
D(E_F) in states/eV/f.u.: 2.13
Mass density in g cm⁻³: 7.33
Formation energy (no corrections) in eV/atom: -0.87

---

13.
Computed, not measured: crystalline Dy2Co3Si5 at its relaxed geometry at the PBEsol level of DFT.

a = 10.6292 Å, b = 11.3053 Å, c = 5.4257 Å
α = 90.00°, β = 118.63°, γ = 90.00°
Last column: nearest neighbours and their distance in Å.
Space group C2/c (No. 15)
Inequivalent atoms, fractional coordinates:
Dy1 0.2333 0.1365 0.2361  10 Si 2.82-3.12, 4 Co 2.90-3.10
Co1 0.0000 0.4968 0.7500  5 Si 2.31-2.38
Co2 0.0980 0.1383 0.6270  5 Si 2.24-2.34
Si1 0.0000 0.0121 0.2500  4 Co 2.26-2.29
Si2 0.0000 0.2707 0.2500  2 Co 2.34, 2 Si 2.49
Si3 0.0000 0.2865 0.7500  3 Co 2.24-2.38, 2 Si 2.46
Si4 0.1643 0.4016 0.1664  3 Co 2.27-2.35, 2 Si 2.46-2.49

Calculated values
D(E_F) in states/eV/f.u.: 4.76
Mass density in g cm⁻³: 7.45
Formation energy (no corrections) in eV/atom: -0.87

---

14.
Computed, not measured: crystalline Dy3Co6Sn5 at its relaxed geometry at the PBEsol level of DFT.

a = 4.2626 Å, b = 9.4193 Å, c = 12.0986 Å
α = 90.00°, β = 90.00°, γ = 90.00°
Last column: nearest neighbours and their distance in Å.
Space group Immm (No. 71)
Inequivalent atoms, fractional coordinates:
Dy1 0.0000 0.0000 0.0000  4 Co 2.88
Dy2 0.0000 0.0000 0.3175  6 Co 2.85-3.16, 6 Sn 3.07-3.12
Co1 0.0000 0.1920 0.5000  4 Co 2.52, 4 Sn 2.55-2.79
Co2 0.0000 0.2723 0.1074  4 Sn 2.51-2.70, 3 Co 2.52-2.60
Sn1 0.0000 0.3408 0.3237  4 Co 2.52-2.70
Sn2 0.0000 0.5000 0.0000  8 Co 2.51-2.79

Calculated values
D(E_F) in states/eV/f.u.: 13.13
Mass density in g cm⁻³: 9.81
ΔH_f (0 K) in eV per atom: -0.394

---

15.
Computed, not measured: crystalline Dy3Co8Sn4 at its relaxed geometry at the PBEsol level of DFT.

a = 8.7310 Å, b = 8.7310 Å, c = 7.3301 Å
α = 90.00°, β = 90.00°, γ = 120.00°
Last column: nearest neighbours and their distance in Å.
Space group P6_3mc (No. 186)
Inequivalent atoms, fractional coordinates:
Dy1 0.0603 0.5301 0.0000  5 Co 2.94-3.11, 6 Sn 3.13-3.21
Co1 0.0000 0.0000 0.2232  9 Co 2.32-2.44
Co2 0.0975 0.1949 0.9783  7 Co 2.32-2.55, 1 Sn 2.59
Co3 0.1590 0.3180 0.6675  4 Co 2.44-2.52, 4 Sn 2.64-2.72
Co4 0.3333 0.6667 0.2861  3 Sn 2.46
Sn1 0.1711 0.3421 0.2980  8 Co 2.46-2.72
Sn2 0.3333 0.6667 0.6638  4 Co 2.64-2.77

Calculated values
D(E_F) in states/eV/f.u.: 14.38
Mass density in g cm⁻³: 9.84
ΔH_f (0 K) in eV per atom: -0.344

---

16.
Computed, not measured: crystalline Dy6CoTe2 at its relaxed geometry at the PBEsol level of DFT.

a = 8.2123 Å, b = 8.2123 Å, c = 3.8365 Å
α = 90.00°, β = 90.00°, γ = 120.00°
Last column: nearest neighbours and their distance in Å.
Space group P-62m (No. 189)
Inequivalent atoms, fractional coordinates:
Dy1 0.0000 0.4010 0.0000  4 Te 3.16, 1 Co 3.29, 4 Dy 3.45
Dy2 0.0000 0.7635 0.5000  2 Co 2.73
Co1 0.0000 0.0000 0.0000  6 Dy 2.73
Te1 0.3333 0.6667 0.5000  9 Dy 3.16-3.21

Calculated values
D(E_F) in states/eV/f.u.: 9.51
Mass density in g cm⁻³: 9.55
Formation energy (no corrections) in eV/atom: -0.71

---

17.
Computed, not measured: crystalline ErCo3 at its relaxed geometry at the PBEsol level of DFT.

a = 4.8533 Å, b = 4.8533 Å, c = 23.8637 Å
α = 90.00°, β = 90.00°, γ = 120.00°
Last column: nearest neighbours and their distance in Å.
Space group R-3m (No. 166, hexagonal axes)
Inequivalent atoms, fractional coordinates:
Er1 0.0000 0.0000 0.0000  18 Co 2.80-3.11
Er2 0.0000 0.0000 0.1398  12 Co 2.80-3.01, 3 Er 3.08
Co1 0.0000 0.0000 0.3347  6 Co 2.38-2.42
Co2 0.0000 0.0000 0.5000  6 Co 2.47
Co3 0.0026 0.5013 0.9185  7 Co 2.38-2.47

Calculated values
D(E_F) in states/eV/f.u.: 5.51
Mass density in g cm⁻³: 10.56
ΔH_f (0 K) in eV per atom: -0.208